Here is Ti2SiRh after structural relaxation from the Alexandria database. Energies are from GGA-PBE.

Lattice parameters (Å, degrees): 3.838 3.838 3.965 90.00 90.00 90.00
Space group P4/mmm (No. 123)
Unique sites:
Ti  0.000  0.500  0.000 (multiplicity 2)
Si  0.000  0.000  0.500 (multiplicity 1)
Rh  0.500  0.500  0.500 (multiplicity 1)

Calculated values
energy relative to the elements, uncorrected	-2.78	eV per formula unit